This record from the Alexandria database describes CdCu2Cl after structural relaxation. The functional is GGA-PBE.

Cell and atoms, written as CIF:
```
data_CdCu2Cl
_space_group_name_H-M_alt 'I m m 2'
_space_group_IT_number 44
_space_group_name_Hall 'I 2 -2'
_cell_length_a 3.068
_cell_length_b 4.496
_cell_length_c 11.224
_cell_angle_alpha 90.00
_cell_angle_beta 90.00
_cell_angle_gamma 90.00
loop_
_atom_site_label
_atom_site_type_symbol
_atom_site_fract_x
_atom_site_fract_y
_atom_site_fract_z
_atom_site_occupancy
Cd1 Cd 0.000 0.000 0.000 1
Cu1 Cu 0.000 0.000 0.453 1
Cu2 Cu 0.000 0.500 0.128 1
Cl1 Cl 0.000 0.500 0.779 1
```

Calculated values
- size of the total moment (Bohr magnetons per cell) = 0.00
- polymorph energy (0 for the lowest one) (meV per atom) = 126
- raw formation energy (eV per atom) = 0.070